Record 1
Material: Ti2Ga2Pd5
Method: DFT, PBE-GGA
State: relaxed

a = 8.0807 Å, b = 8.0807 Å, c = 8.0807 Å
α = 73.03°, β = 125.10°, γ = 135.79°
Sites, in units of the cell vectors:
Ti 0.0137 0.1222 0.1359
Ti 0.0137 0.3778 0.3915
Ti 0.9863 0.6222 0.6085
Ti 0.9863 0.8778 0.8641
Ga 0.3579 0.6168 0.2411
Ga 0.3758 0.1168 0.7589
Ga 0.6265 0.1265 0.5000
Ga 0.6265 0.6265 0.0000
Pd 0.1115 0.2619 0.7661
Pd 0.1115 0.8454 0.3496
Pd 0.4538 0.0057 0.1459
Pd 0.4538 0.8079 0.9481
Pd 0.4958 0.3454 0.2339
Pd 0.4958 0.7619 0.6504
Pd 0.5398 0.4678 0.5720
Pd 0.8599 0.3079 0.8541
Pd 0.8599 0.5057 0.0519
Pd 0.8958 0.9678 0.4280

Summary:
Space group: Ima2 (46)
DOS(E_F): 5.97 states/eV/f.u.
ΔE_f: -411 meV/atom



Record 2
Material: Ti3Ga4Pd2
Method: DFT, PBE-GGA
State: relaxed

a = 8.6876 Å, b = 8.6876 Å, c = 4.3039 Å
α = 96.34°, β = 96.34°, γ = 64.83°
Sites, in units of the cell vectors:
Ti 0.1275 0.8725 0.7500
Ti 0.2037 0.4609 0.9074
Ti 0.4609 0.2037 0.4074
Ti 0.5391 0.7963 0.5926
Ti 0.7963 0.5391 0.0926
Ti 0.8725 0.1275 0.2500
Ga 0.0063 0.2286 0.8114
Ga 0.2286 0.0063 0.3114
Ga 0.3216 0.5635 0.4646
Ga 0.4365 0.6784 0.0354
Ga 0.5635 0.3216 0.9646
Ga 0.6784 0.4365 0.5354
Ga 0.7714 0.9937 0.6886
Ga 0.9937 0.7714 0.1886
Pd 0.1098 0.3384 0.3613
Pd 0.3384 0.1098 0.8613
Pd 0.6616 0.8902 0.1387
Pd 0.8902 0.6616 0.6387

Summary:
Space group: C2/c (15)
DOS(E_F): 5.71 states/eV/f.u.
ΔE_f: -387 meV/atom



Record 3
Material: TiGaPd2
Method: DFT, PBE-GGA
State: relaxed

a = 4.6041 Å, b = 4.6041 Å, c = 2.9023 Å
α = 90.00°, β = 90.00°, γ = 90.00°
Sites, in units of the cell vectors:
Ti 0.0000 0.0000 0.0000
Ga 0.5000 0.5000 0.0000
Pd 0.0000 0.5000 0.5000
Pd 0.5000 0.0000 0.5000

Summary:
Space group: P4/mmm (123)
DOS(E_F): 3.49 states/eV/f.u.
ΔE_f: -530 meV/atom



Record 4
Material: Ti3GaPd
Method: DFT, PBE-GGA
State: relaxed

a = 4.7406 Å, b = 4.7406 Å, c = 4.7406 Å
α = 90.00°, β = 90.00°, γ = 90.00°
Sites, in units of the cell vectors:
Ti 0.0000 0.0000 0.5000
Ti 0.0000 0.5000 0.0000
Ti 0.5000 0.0000 0.0000
Ga 0.5000 0.5000 0.5000
Pd 0.0000 0.0000 0.0000

Summary:
Space group: Pm-3m (221)
DOS(E_F): 5.84 states/eV/f.u.
ΔE_f: 476 meV/atom
Energy above the lowest structure with this stoichiometry: 773 meV per atom